# MgBH4, relaxed, DFT PBE-GGA
data_MgBH4
_chemical_formula_sum 'Mg2 B2 H8'
_cell_length_a 5.4056
_cell_length_b 3.9493
_cell_length_c 6.0593
_cell_angle_alpha 90.00
_cell_angle_beta 112.28
_cell_angle_gamma 90.00
_space_group_name_H-M_alt 'P 1 21/m 1'
_space_group_IT_number 11
loop_
_space_group_symop_operation_xyz
'x,y,z'
'-x,-y,-z'
'-x,y+1/2,-z'
'x,-y+1/2,z'
loop_
_atom_site_label
_atom_site_type_symbol
_atom_site_fract_x
_atom_site_fract_y
_atom_site_fract_z
Mg1 Mg 0.0488 0.2500 0.3127
B1 B 0.2631 0.7500 0.1574
H1 H 0.0218 0.7500 0.1118
H2 H 0.3108 0.7500 0.9736
H3 H 0.3708 0.5023 0.2749
# **Uncorrected energy**: -3.73 eV/atom
# **Energy relative to the lowest polymorph listed for this composition**: 0.0000 eV/atom